Hf2Be16Rh | PBE | optimized geometry

Values from the calculation:
ρ: 5.44 g/cm3
calculated formation energy: -0.29 eV per atom
density of states at the Fermi level: 4.9 states/eV/cell
total moment: 0.00 μB per atom
calculated volume: 9.71 Å³ per atom

Cell lengths 5.728, 5.728, 5.728 Å; angles 83.32, 83.32, 83.32 degrees
Sites, in units of the cell vectors:
Be 0.655 0.655 0.159
Be 0.497 0.002 0.002
Be 0.002 0.497 0.002
Be 0.998 0.710 0.286
Be 0.344 0.841 0.344
Be 0.108 0.108 0.108
Be 0.841 0.344 0.344
Be 0.344 0.344 0.841
Be 0.710 0.286 0.998
Be 0.710 0.998 0.286
Be 0.286 0.998 0.710
Be 0.159 0.655 0.655
Be 0.286 0.710 0.998
Be 0.998 0.286 0.710
Be 0.655 0.159 0.655
Be 0.002 0.002 0.497
Hf 0.658 0.658 0.658
Hf 0.342 0.342 0.342
Rh 0.905 0.905 0.905